Model P:
# Li5Mn3Co2O10

A geometry-optimized Li5Mn3Co2O10 structure (PBE+U, the Alexandria database).

Unit cell a=5.2403 b=5.2390 c=7.7041 alpha=104.49 beta=107.76 gamma=99.64
Each line ends with the local moment (μB).
Positions (direct):
O 0.3124 0.1330 0.5440  0.38
O 0.2823 0.6834 0.0480  0.08
O 0.8902 0.4562 0.6627  0.11
O 0.1098 0.5438 0.3373  0.11
O 0.9056 0.9278 0.1455  0.16
O 0.7177 0.3166 0.9520  0.08
O 0.5262 0.7595 0.7705  0.03
O 0.0944 0.0722 0.8545  0.16
O 0.4738 0.2405 0.2295  0.03
O 0.6876 0.8670 0.4560  0.38
Li 0.2789 0.3938 0.7796  0.01
Li 0.0903 0.7830 0.5900  0.00
Li 0.9097 0.2170 0.4100  0.00
Li 0.7211 0.6062 0.2204  0.01
Li 0.5000 0.5000 0.5000  0.00
Mn 0.5000 0.0000 0.0000  4.00
Mn 0.8921 0.6951 0.8966  3.87
Mn 0.1079 0.3049 0.1034  3.87
Co 0.2921 0.9055 0.3150  3.07
Co 0.7079 0.0945 0.6850  3.07

magnetic moment = 20.0 μB/f.u.
space-group type = P-1 (2)



Model Q:
# Li5Mn3Co2O10

A geometry-optimized Li5Mn3Co2O10 structure (PBE+U, the Alexandria database).

Unit cell a=7.8711 b=5.0750 c=6.5073 alpha=60.05 beta=93.28 gamma=122.28
Each line ends with the local moment (μB).
Positions (direct):
O 0.4092 0.8776 0.3289  0.05
O 0.8079 0.9696 0.4253  0.02
O 0.9891 0.7750 0.2249  -0.04
O 0.1921 0.0304 0.5747  0.02
O 0.3786 0.2955 0.8631  -0.04
O 0.8239 0.4573 0.9526  -0.01
O 0.6214 0.7045 0.1369  -0.04
O 0.1761 0.5427 0.0474  -0.01
O 0.5908 0.1224 0.6711  0.05
O 0.0109 0.2250 0.7751  -0.04
Co 0.6938 0.2878 0.3159  2.66
Co 0.3062 0.7122 0.6841  2.66
Mn 0.1017 0.9023 0.8934  3.25
Mn 0.8983 0.0977 0.1066  3.25
Mn 0.5000 0.0000 0.0000  3.98
Li 0.5000 0.5000 0.5000  0.00
Li 0.1010 0.3786 0.4116  0.01
Li 0.8990 0.6214 0.5884  0.01
Li 0.7075 0.8219 0.7852  0.00
Li 0.2925 0.1781 0.2148  0.00

magnetic moment = 16.0 μB/f.u.
space-group type = P-1 (2)



Stability summary - winner: model Q; margin: 3.2 kJ/mol of atoms.



Model P:
# Li2Mn2CoO6

A geometry-optimized Li2Mn2CoO6 structure (PBE+U, the Alexandria database).

Unit cell a=5.0681 b=5.0889 c=10.2942 alpha=90.00 beta=90.01 gamma=119.87
Each line ends with the local moment (μB).
Positions (direct):
O 0.8517 0.0000 0.4012  -0.05
O 0.6382 0.6350 0.1053  -0.03
O 0.4968 0.6350 0.6053  -0.03
O 0.6482 0.0000 0.9012  -0.05
O 0.8618 0.3650 0.6053  -0.03
O 0.9967 0.6350 0.8947  -0.03
O 0.3618 0.3650 0.8947  -0.03
O 0.5032 0.3650 0.3947  -0.03
O 0.1483 0.0000 0.5988  -0.05
O 0.3518 0.0000 0.0988  -0.05
O 0.1382 0.6350 0.3947  -0.03
O 0.0033 0.3650 0.1053  -0.03
Li 0.3280 0.5003 0.2500  0.00
Li 0.1723 0.5003 0.7500  0.00
Li 0.8277 0.4997 0.2500  0.00
Li 0.6720 0.4997 0.7500  0.00
Mn 0.8367 0.6733 0.5000  3.20
Mn 0.3367 0.6733 0.0000  3.20
Mn 0.6633 0.3267 0.0000  3.20
Mn 0.1633 0.3267 0.5000  3.20
Co 0.5000 0.0000 0.5000  2.71
Co 0.0000 0.0000 0.0000  2.71

magnetic moment = 9.0 μB/f.u.
space-group type = Cmce (64)



Model Q:
# Li2Mn2CoO6

A geometry-optimized Li2Mn2CoO6 structure (PBE+U, the Alexandria database).

Unit cell a=5.9994 b=6.5483 c=6.0657 alpha=76.89 beta=92.46 gamma=105.45
Each line ends with the local moment (μB).
Positions (direct):
Mn 0.6696 0.6634 0.8332  3.18
Mn 0.0087 0.9976 0.0016  3.90
Mn 0.6577 0.6689 0.3317  3.90
Mn 0.9969 0.0031 0.5001  3.18
O 0.2154 0.0223 0.2643  -0.09
O 0.4249 0.6479 0.6165  0.18
O 0.4511 0.6441 0.0691  -0.09
O 0.7560 0.9825 0.2797  -0.01
O 0.7835 0.9869 0.7436  -0.08
O 0.5600 0.3512 0.4022  0.04
O 0.5914 0.3578 0.9016  0.13
O 0.9106 0.6841 0.0536  -0.01
O 0.2416 0.0186 0.7169  0.18
O 0.0752 0.3087 0.4317  0.13
O 0.1065 0.3153 0.9312  0.04
O 0.8830 0.6796 0.5896  -0.08
Li 0.8337 0.3337 0.6666  0.01
Li 0.8338 0.3337 0.1665  0.01
Li 0.1863 0.6794 0.8445  0.01
Li 0.4806 0.9878 0.4891  0.01
Co 0.3333 0.3332 0.1667  1.97
Co 0.3333 0.3333 0.6667  3.10

magnetic moment = 10.0 μB/f.u.
space-group type = P-1 (2)



Stability summary - winner: model Q; margin: 0.7 kJ/mol of atoms.